Entry i
## PrDy6Ho4 (GGA-PBE)

Data for an optimized crystal structure of PrDy6Ho4.

Structure (POSCAR):
```
PrDy6Ho4
1.0
5.7149 0.0000 0.0000
-2.8574 4.8038 0.0000
0.0000 0.0000 25.6428
Ho Dy Pr
8 12 2
Direct
0.5328 0.0656 0.6212
0.1557 0.3113 0.4580
0.1557 0.3113 0.0420
0.8443 0.6887 0.5420
0.4672 0.9344 0.3787
0.8443 0.6887 0.9580
0.5328 0.0656 0.8788
0.4672 0.9344 0.1212
0.4736 0.9472 0.2500
0.8616 0.7231 0.6803
0.1928 0.3857 0.8987
0.8616 0.7231 0.8197
0.5000 0.0000 0.5000
0.1384 0.2769 0.3197
0.1928 0.3857 0.6013
0.8072 0.6143 0.3987
0.5264 0.0528 0.7500
0.8072 0.6143 0.1013
0.1384 0.2769 0.1803
0.5000 0.0000 0.0000
0.1915 0.3831 0.7500
0.8085 0.6169 0.2500
```

Summary:
Its space group is Cmcm.

Entry ii
## PrDy6Ho4 (GGA-PBE)

Data for an optimized crystal structure of PrDy6Ho4.

Structure (POSCAR):
```
PrDy6Ho4
1.0
-0.8630 -6.0040 -4.6184
5.9863 2.3075 -4.1184
1.4085 -1.6527 8.1777
Dy Pr Ho
6 1 4
Direct
0.0000 0.5000 0.0000
0.0685 0.0685 0.6261
0.9315 0.4423 0.3739
0.5000 0.0000 0.0000
0.4423 0.9315 0.3739
0.5577 0.5577 0.6261
0.5000 0.5000 0.0000
0.9134 0.9134 0.1541
0.2407 0.2407 0.1541
0.0866 0.7593 0.8459
0.7593 0.0866 0.8459
```

Summary:
Its space group is I-42m.

Name the most stable of them. entry i.

Entry i
## PrDy4Ho7 (GGA-PBE)

Data for an optimized crystal structure of PrDy4Ho7.

Structure (POSCAR):
```
PrDy4Ho7
1.0
-1.2916 6.3233 3.0903
-2.2687 3.4690 8.4974
7.9776 -0.1987 3.7302
Ho Dy Pr
7 4 1
Direct
0.0277 0.7209 0.3350
0.9723 0.2791 0.6650
0.7778 0.2218 0.3345
0.2494 0.5000 0.0001
0.2222 0.7782 0.6655
0.7506 0.5000 0.9999
0.5000 0.0000 0.0000
0.2787 0.2211 0.3342
0.5302 0.7206 0.3353
0.4698 0.2794 0.6647
0.7213 0.7789 0.6658
0.0000 0.0000 0.0000
```

Summary:
Its space group is P-1.

Entry ii
## PrDy4Ho7 (GGA-PBE)

Data for an optimized crystal structure of PrDy4Ho7.

Structure (POSCAR):
```
PrDy4Ho7
1.0
-3.1891 -2.2646 -4.3631
-6.3926 -8.1600 4.9732
-5.9614 2.8707 -1.0674
Ho Dy Pr
7 4 1
Direct
0.5000 0.0000 0.0000
0.0592 0.6696 0.2121
0.7891 0.9222 0.4996
0.6342 0.4967 0.2350
0.2109 0.0778 0.5004
0.9408 0.3304 0.7879
0.3658 0.5033 0.7650
0.2489 0.3174 0.1848
0.6320 0.2253 0.5108
0.3680 0.7747 0.4892
0.7511 0.6826 0.8152
0.0000 0.0000 0.0000
```

Summary:
Its space group is C2/m.

Name the most stable of them. entry i.

Entry i
## Pr3Dy4Ho2 (GGA-PBE)

Data for an optimized crystal structure of Pr3Dy4Ho2.

Structure (POSCAR):
```
Pr3Dy4Ho2
1.0
-4.4334 -2.8996 -3.2484
4.8194 -3.2357 2.2450
-6.5746 7.7386 8.0486
Pr Dy Ho
3 4 2
Direct
0.0000 0.0000 0.0000
0.5538 0.1099 0.6666
0.4462 0.8901 0.3334
0.1101 0.2198 0.3332
0.8899 0.7802 0.6668
0.6642 0.3318 0.9999
0.3358 0.6682 0.0001
0.2205 0.4429 0.6663
0.7795 0.5571 0.3337
```

Summary:
Its space group is P-1.

Entry ii
## Pr3Dy4Ho2 (GGA-PBE)

Data for an optimized crystal structure of Pr3Dy4Ho2.

Structure (POSCAR):
```
Pr3Dy4Ho2
1.0
1.0298 -5.7962 -1.5157
10.4764 -2.4307 -3.4103
6.5112 -5.8817 7.0925
Pr Ho Dy
6 4 8
Direct
0.7500 0.3917 0.6083
0.2496 0.9427 0.7240
0.2504 0.2760 0.0573
0.7504 0.0573 0.2760
0.2500 0.6083 0.3917
0.7496 0.7240 0.9427
0.5804 0.7475 0.4840
0.4196 0.2525 0.5160
0.0804 0.4840 0.7475
0.9196 0.5160 0.2525
0.9216 0.8471 0.5872
0.9208 0.1818 0.9192
0.5784 0.4128 0.1529
0.4208 0.9192 0.1818
0.0784 0.1529 0.4128
0.5792 0.0808 0.8182
0.4216 0.5872 0.8471
0.0792 0.8182 0.0808
```

Summary:
Its space group is C2/c.

Name the most stable of them. entry i.

Entry i
## Pr6DyHo12 (GGA-PBE)

Data for an optimized crystal structure of Pr6DyHo12.

Structure (POSCAR):
```
Pr6DyHo12
1.0
8.8709 0.3268 0.4603
-1.8823 8.6750 0.4603
-1.8823 -2.4246 8.3420
Ho Pr Dy
12 6 1
Direct
0.1155 0.5000 0.8845
0.1681 0.4529 0.4529
0.4529 0.4529 0.1681
0.5471 0.5471 0.8319
0.5000 0.1155 0.8845
0.5471 0.8319 0.5471
0.5000 0.8845 0.1155
0.8845 0.1155 0.5000
0.8845 0.5000 0.1155
0.1155 0.8845 0.5000
0.8319 0.5471 0.5471
0.4529 0.1681 0.4529
0.2187 0.2187 0.7392
0.7813 0.7813 0.2608
0.2608 0.7813 0.7813
0.7813 0.2608 0.7813
0.2187 0.7392 0.2187
0.7392 0.2187 0.2187
0.0000 0.0000 0.0000
```

Summary:
Its space group is R-3m.

Entry ii
## Pr6DyHo12 (GGA-PBE)

Data for an optimized crystal structure of Pr6DyHo12.

Structure (POSCAR):
```
Pr6DyHo12
1.0
-7.3191 -1.3479 4.6185
4.1033 -7.5275 1.7933
4.2073 5.1853 5.6682
Pr Ho Dy
6 12 1
Direct
0.0974 0.0974 0.6565
0.3435 0.9026 0.9026
0.9026 0.3435 0.9026
0.6565 0.0974 0.0974
0.9026 0.9026 0.3435
0.0974 0.6565 0.0974
0.2439 0.5000 0.7561
0.3554 0.0813 0.3554
0.5000 0.2439 0.7561
0.7561 0.5000 0.2439
0.6446 0.6446 0.9187
0.7561 0.2439 0.5000
0.0813 0.3554 0.3554
0.3554 0.3554 0.0813
0.5000 0.7561 0.2439
0.6446 0.9187 0.6446
0.9187 0.6446 0.6446
0.2439 0.7561 0.5000
0.0000 0.0000 0.0000
```

Summary:
Its space group is R-3m.

Name the most stable of them. entry ii.

Entry i
## Pr7Dy2Ho (GGA-PBE)

Data for an optimized crystal structure of Pr7Dy2Ho.

Structure (POSCAR):
```
Pr7Dy2Ho
1.0
3.4741 0.0000 0.0000
0.0000 12.0591 -9.4907
0.0000 -6.8638 13.7252
Pr Dy Ho
7 2 1
Direct
0.0000 0.3091 0.6909
0.5000 0.5000 0.5000
0.0000 0.6909 0.3091
0.5000 0.6585 0.8583
0.5000 0.3415 0.1417
0.5000 0.8583 0.6585
0.5000 0.1417 0.3415
0.5000 0.7934 0.2067
0.5000 0.2066 0.7933
0.0000 0.0000 0.0000
```

Summary:
Its space group is Cmmm.

Entry ii
## Pr7Dy2Ho (GGA-PBE)

Data for an optimized crystal structure of Pr7Dy2Ho.

Structure (POSCAR):
```
Pr7Dy2Ho
1.0
5.6816 0.0000 0.0000
0.0000 9.4170 -0.5566
0.0000 -4.7452 8.1531
Dy Pr Ho
2 7 1
Direct
0.5000 0.7051 0.2949
0.5000 0.2949 0.7051
0.5000 0.0669 0.2926
0.0000 0.2204 0.7796
0.5000 0.2926 0.0669
0.5000 0.5000 0.5000
0.5000 0.7074 0.9331
0.5000 0.9331 0.7074
0.0000 0.7796 0.2204
0.0000 0.0000 0.0000
```

Summary:
Its space group is Cmmm.

Name the most stable of them. entry i.

Entry i
## Pr2Dy8Ho (GGA-PBE)

Data for an optimized crystal structure of Pr2Dy8Ho.

Structure (POSCAR):
```
Pr2Dy8Ho
1.0
6.0576 0.0000 -2.7311
-0.7272 6.4544 -1.6130
0.3622 0.7327 8.8867
Dy Ho Pr
8 1 2
Direct
0.1972 0.8021 0.3944
0.8028 0.1979 0.6056
0.4108 0.0922 0.8217
0.5892 0.9078 0.1783
0.8252 0.3993 0.1718
0.3467 0.3993 0.1718
0.6533 0.6007 0.8282
0.1748 0.6007 0.8282
0.0000 0.0000 0.0000
0.7547 0.6888 0.5094
0.2453 0.3112 0.4906
```

Summary:
Its space group is C2/m.

Entry ii
## Pr2Dy8Ho (GGA-PBE)

Data for an optimized crystal structure of Pr2Dy8Ho.

Structure (POSCAR):
```
Pr2Dy8Ho
1.0
5.6801 1.6365 0.0000
2.6044 8.6632 0.0000
1.3022 4.3316 8.0467
Dy Ho Pr
8 1 2
Direct
0.8273 0.3285 0.7701
0.8273 0.0986 0.2299
0.7031 0.5742 0.0000
0.1727 0.9014 0.7701
0.5000 0.7929 0.4142
0.2969 0.4258 0.0000
0.1727 0.6715 0.2299
0.5000 0.2071 0.5858
0.5000 0.0000 0.0000
0.0000 0.6934 0.6131
0.0000 0.3066 0.3869
```

Summary:
Its space group is C2/m.

Name the most stable of them. entry ii.

Entry i
## Pr3Dy2Ho6 (GGA-PBE)

Data for an optimized crystal structure of Pr3Dy2Ho6.

Structure (POSCAR):
```
Pr3Dy2Ho6
1.0
-0.3115 -4.4778 1.6003
2.8634 -1.4570 -3.5195
11.9768 5.5210 10.6845
Ho Dy Pr
6 2 3
Direct
0.6200 0.1200 0.2400
0.8800 0.3800 0.7600
0.3800 0.8800 0.7600
0.6912 0.6912 0.3824
0.1200 0.6200 0.2400
0.3088 0.3088 0.6176
0.5462 0.5462 0.0924
0.4538 0.4538 0.9076
0.7952 0.7952 0.5905
0.2048 0.2048 0.4095
0.0000 0.0000 0.0000
```

Summary:
Its space group is I4/mmm.

Entry ii
## Pr3Dy2Ho6 (GGA-PBE)

Data for an optimized crystal structure of Pr3Dy2Ho6.

Structure (POSCAR):
```
Pr3Dy2Ho6
1.0
-3.8058 -2.2394 -3.6456
-3.2121 -5.4560 2.2077
-11.2948 3.8291 0.4507
Ho Dy Pr
6 2 3
Direct
0.2865 0.0000 0.2135
0.1541 0.3007 0.6955
0.7135 0.0000 0.7865
0.4548 0.6993 0.6955
0.8459 0.6993 0.3045
0.5452 0.3007 0.3045
0.8677 0.2646 0.5000
0.1323 0.7354 0.5000
0.0000 0.0000 0.0000
0.7058 0.5884 0.0000
0.2942 0.4116 0.0000
```

Summary:
Its space group is Cmmm.

Name the most stable of them. entry ii.

Entry i
## Pr2Dy12Ho5 (GGA-PBE)

Data for an optimized crystal structure of Pr2Dy12Ho5.

Structure (POSCAR):
```
Pr2Dy12Ho5
1.0
-4.1980 7.6641 -2.9297
-2.2155 -9.6225 -7.5007
-2.3878 1.7489 7.9966
Dy Ho Pr
12 5 2
Direct
0.4416 0.8832 0.2132
0.5584 0.1168 0.7868
0.3376 0.3137 0.0690
0.8178 0.2524 0.5999
0.9060 0.8120 0.6948
0.4346 0.2524 0.5999
0.5654 0.7476 0.4001
0.0940 0.1880 0.3052
0.1822 0.7476 0.4001
0.6624 0.6863 0.9310
0.0240 0.6863 0.9310
0.9760 0.3137 0.0690
0.2318 0.4636 0.8877
0.6975 0.3950 0.3857
0.0000 0.0000 0.5000
0.7682 0.5364 0.1123
0.3025 0.6050 0.6143
0.6847 0.0000 0.0000
0.3153 0.0000 0.0000
```

Summary:
Its space group is C2/m.

Entry ii
## Pr2Dy12Ho5 (GGA-PBE)

Data for an optimized crystal structure of Pr2Dy12Ho5.

Structure (POSCAR):
```
Pr2Dy12Ho5
1.0
-9.1503 2.1775 -6.0129
-8.9828 -6.3975 1.7336
-4.2226 2.9218 3.3255
Dy Pr Ho
12 2 5
Direct
0.9454 0.4560 0.8025
0.5440 0.0546 0.1975
0.0546 0.5440 0.1975
0.1461 0.6475 0.5920
0.1247 0.1247 0.7444
0.4560 0.9454 0.8025
0.8753 0.8753 0.2556
0.8539 0.3525 0.4080
0.4420 0.4420 0.8365
0.3525 0.8539 0.4080
0.6475 0.1461 0.5920
0.5580 0.5580 0.1635
0.2211 0.7789 0.0000
0.7789 0.2211 0.0000
0.3243 0.3243 0.4906
0.6757 0.6757 0.5094
0.0000 0.0000 0.5000
0.7855 0.7855 0.8814
0.2145 0.2145 0.1186
```

Summary:
Its space group is C2/m.

Name the most stable of them. entry ii.